Material: SbP2AuC
Method: DFT, PBE
State: optimized geometry

The crystal system is tetragonal. The calculation puts the magnetization at 0.1 μB per formula unit. Its raw formation energy is 2.334 eV per atom. The total energy comes out at -3.15 eV/atom.

Cell and atoms, written as CIF:
```
data_SbP2AuC
_chemical_formula_sum 'Sb1 P2 Au1 C1'
_cell_length_a 5.165
_cell_length_b 5.165
_cell_length_c 5.147
_cell_angle_alpha 90.00
_cell_angle_beta 90.00
_cell_angle_gamma 90.00
_space_group_name_H-M_alt 'P 4/m m m'
_space_group_IT_number 123
_space_group_name_Hall '-P 4 2'
loop_
_atom_site_label
_atom_site_type_symbol
_atom_site_fract_x
_atom_site_fract_y
_atom_site_fract_z
_atom_site_occupancy
Sb1 Sb 0.000 0.000 0.000 1
P1 P 0.000 0.500 0.000 1
Au1 Au 0.000 0.000 0.500 1
C1 C 0.500 0.500 0.500 1
```

***

Material: KCu2Re
Method: DFT, PBE
State: optimized geometry

The energy relative to the lowest polymorph listed for this composition is 191.2 meV per atom. For the formation energy, the calculation gives 325 kJ/mol of formula units. The crystal system is monoclinic. The calculation puts the magnetization at 0.6 μB per formula unit. The total energy comes out at -4.59 eV/atom.

Cell and atoms, written as CIF:
```
data_KCu2Re
_chemical_formula_sum 'K2 Cu4 Re2'
_cell_length_a 9.774
_cell_length_b 2.578
_cell_length_c 6.178
_cell_angle_alpha 90.00
_cell_angle_beta 100.63
_cell_angle_gamma 90.00
_space_group_name_H-M_alt 'C 1 m 1'
_space_group_IT_number 8
loop_
_space_group_symop_operation_xyz
'x,y,z'
'x,-y,z'
'x+1/2,y+1/2,z'
'x+1/2,-y+1/2,z'
loop_
_atom_site_label
_atom_site_type_symbol
_atom_site_fract_x
_atom_site_fract_y
_atom_site_fract_z
_atom_site_occupancy
K1 K 0.000 0.000 0.000 1
Cu1 Cu 0.275 0.500 0.275 1
Cu2 Cu 0.473 0.000 0.516 1
Re1 Re 0.210 0.000 0.597 1
```

***

Material: NaPrZn
Method: DFT, PBE
State: optimized geometry

For the formation energy, the calculation gives -19 kJ/mol of formula units. The crystal system is orthorhombic. The calculation puts the magnetization at 0.0 μB per formula unit. The total energy comes out at -2.52 eV/atom.

Cell and atoms, written as CIF:
```
data_NaPrZn
_chemical_formula_sum 'Na4 Pr4 Zn4'
_cell_length_a 3.574
_cell_length_b 17.983
_cell_length_c 5.277
_cell_angle_alpha 90.00
_cell_angle_beta 90.00
_cell_angle_gamma 90.00
_space_group_name_H-M_alt 'C m c m'
_space_group_IT_number 63
_space_group_name_Hall '-C 2c 2'
loop_
_atom_site_label
_atom_site_type_symbol
_atom_site_fract_x
_atom_site_fract_y
_atom_site_fract_z
_atom_site_occupancy
Na1 Na 0.000 0.215 0.250 1
Pr1 Pr 0.000 0.079 0.750 1
Zn1 Zn 0.000 0.438 0.750 1
```